# ErCdAgPt (PBE, relaxed)
data_ErCdAgPt
_cell_length_a 6.844
_cell_length_b 6.844
_cell_length_c 6.844
_cell_angle_alpha 90.00
_cell_angle_beta 90.00
_cell_angle_gamma 90.00
_symmetry_space_group_name_H-M 'F -4 3 m'
_symmetry_Int_Tables_number 216
_symmetry_space_group_name_Hall 'F -4 2 3'
loop_
_atom_site_label
_atom_site_fract_x
_atom_site_fract_y
_atom_site_fract_z
Er1 0.000 0.000 0.000
Cd1 0.000 0.000 0.500
Ag1 0.250 0.250 0.750
Pt1 0.250 0.250 0.250
# final energy	-67.0	eV/cell
# volume	320.6	Å³ per cell

***

# Tl2FeRh (PBE, relaxed)
data_Tl2FeRh
_cell_length_a 3.258
_cell_length_b 3.258
_cell_length_c 6.877
_cell_angle_alpha 90.00
_cell_angle_beta 90.00
_cell_angle_gamma 90.00
_symmetry_space_group_name_H-M 'P 4/m m m'
_symmetry_Int_Tables_number 123
_symmetry_space_group_name_Hall '-P 4 2'
loop_
_atom_site_label
_atom_site_fract_x
_atom_site_fract_y
_atom_site_fract_z
Tl1 0.000 0.000 0.249
Fe1 0.500 0.500 0.500
Rh1 0.500 0.500 0.000
# final energy	-18.9	eV/cell
# volume	73.0	Å³ per cell
# energy above the lowest structure with this stoichiometry	0.153	eV per atom

***

# Tb7PrSm3 (PBE, relaxed)
data_Tb7PrSm3
_cell_length_a 7.1144
_cell_length_b 7.1144
_cell_length_c 8.7099
_cell_angle_alpha 90.00
_cell_angle_beta 90.00
_cell_angle_gamma 120.00
_symmetry_space_group_name_H-M 'P 3 m 1'
_symmetry_Int_Tables_number 156
loop_
_symmetry_equiv_pos_as_xyz
'x,y,z'
'-y,x-y,z'
'-x+y,-x,z'
'-y,-x,z'
'-x+y,y,z'
'x,x-y,z'
loop_
_atom_site_label
_atom_site_fract_x
_atom_site_fract_y
_atom_site_fract_z
Tb1 0.0000 0.0000 0.0000
Tb2 0.1656 0.3311 0.6740
Tb3 0.5007 0.0014 0.0040
Pr1 0.6667 0.3333 0.6763
Sm1 0.3323 0.1662 0.3369
# final energy	-49.3	eV/cell
# volume	381.8	Å³ per cell
# energy above the lowest structure with this stoichiometry	0.046	eV per atom

***

# La2AgAs (PBE, relaxed)
data_La2AgAs
_cell_length_a 4.3421
_cell_length_b 4.3421
_cell_length_c 22.6533
_cell_angle_alpha 90.00
_cell_angle_beta 90.00
_cell_angle_gamma 120.00
_symmetry_space_group_name_H-M 'R -3 m'
_symmetry_Int_Tables_number 166
_symmetry_space_group_name_Hall '-R 3 2"'
loop_
_atom_site_label
_atom_site_fract_x
_atom_site_fract_y
_atom_site_fract_z
La1 0.0000 0.0000 0.2416
Ag1 0.0000 0.0000 0.0000
As1 0.0000 0.0000 0.5000
# final energy	-61.7	eV/cell
# volume	369.9	Å³ per cell

***

Number 1: total moment 0.00 μB per cell, formation energy -230 kJ/mol of formula units. Number 2: total moment 2.56 μB per cell, formation energy 161 kJ/mol of formula units. Number 3: total moment 0.00 μB per cell, formation energy 194 kJ/mol of formula units. Number 4: total moment 1.27 μB per cell, formation energy -311 kJ/mol of formula units.